Record 1
Compound: SrAl2Co
Source: Alexandria via LeMat-Bulk
Functional: GGA-PBE
Structure: optimized geometry

Lattice parameters (Å, degrees): 5.667 9.709 2.926 90.00 90.00 90.00
Space group Cmmm (No. 65)
Asymmetric unit:
Sr: 0.000 0.000 0.000
Al: 0.250 0.250 0.500
Co: 0.000 0.500 0.000

Values from the calculation:
electronic total energy = -3.6006 eV per atom
Fermi-level density of states = 8.04 states/eV per cell
magnetic moment = 2.5 Bohr magnetons per cell
formation enthalpy at 0 K = 0.468 eV/atom

***

Record 2
Compound: TbCeTmTc
Source: Alexandria via LeMat-Bulk
Functional: GGA-PBE
Structure: optimized geometry

Lattice parameters (Å, degrees): 4.4681 4.4681 19.0070 90.00 90.00 120.00
Space group R3m (No. 160, hexagonal axes)
Asymmetric unit:
Tb: 0.0000 0.0000 0.0000
Ce: 0.0000 0.0000 0.4461
Tm: 0.0000 0.0000 0.2131
Tc: 0.0000 0.0000 0.7928

Values from the calculation:
electronic total energy = -6.2457 eV per atom
Fermi-level density of states = 15.37 states/eV per cell
magnetic moment = 0.0 Bohr magnetons per cell
formation enthalpy at 0 K = 0.105 eV/atom

***

Record 3
Compound: Tl3Ag3Sn8
Source: Alexandria via LeMat-Bulk
Functional: GGA-PBE
Structure: optimized geometry

Lattice parameters (Å, degrees): 5.201 10.946 13.106 90.00 90.00 90.00
Space group Immm (No. 71)
Asymmetric unit:
Tl: 0.000 0.000 0.000
Tl: 0.000 0.000 0.283
Ag: 0.000 0.134 0.500
Ag: 0.000 0.500 0.000
Sn: 0.000 0.294 0.134
Sn: 0.000 0.358 0.364

Values from the calculation:
electronic total energy = -3.3699 eV per atom
Fermi-level density of states = 12.27 states/eV per cell
magnetic moment = 0.0 Bohr magnetons per cell
formation enthalpy at 0 K = 0.035 eV/atom